Here is a relaxed Ac2CdSn4Pt3 crystal from the Alexandria database. Energies are from PBE.

Output
D(E_F): 0.552 states/eV per atom
formation energy from the elements: -0.792 eV per atom

Lattice parameters (Å, degrees): 4.6849 4.6849 11.2302 90.00 90.00 90.00
Space group P-4m2 (No. 115)
Asymmetric unit:
Ac1 0.0000 0.5000 0.2503
Cd1 0.0000 0.0000 0.5000
Sn1 0.0000 0.0000 0.0000
Sn2 0.0000 0.5000 0.6395
Sn3 0.5000 0.5000 0.0000
Pt1 0.0000 0.5000 0.8763
Pt2 0.5000 0.5000 0.5000



Here is a relaxed TaAl2Sb crystal from the Alexandria database. Energies are from PBE.

Output
D(E_F): 0.294 states/eV per atom
formation energy from raw total energies: 0.072 eV per atom

Lattice parameters (Å, degrees): 3.9143 4.4868 8.8249 90.00 90.00 90.00
Space group Cmmm (No. 65)
Asymmetric unit:
Ta1 0.0000 0.0000 0.0000
Al1 0.0000 0.5000 0.2209
Sb1 0.0000 0.0000 0.5000



Here is a relaxed Pa2GeAs2N2 crystal from the Alexandria database. Energies are from PBE.

Output
D(E_F): 0.390 states/eV per atom
formation energy from raw total energies: -0.836 eV per atom

Lattice parameters (Å, degrees): 3.9096 3.9096 11.4626 90.00 90.00 120.00
Space group P-3m1 (No. 164)
Asymmetric unit:
Pa1 0.3333 0.6667 0.1271
Ge1 0.0000 0.0000 0.5000
As1 0.0000 0.0000 0.2879
N1 0.3333 0.6667 0.9272



Here is a relaxed LuTiCuAg crystal from the Alexandria database. Energies are from PBE.

Output
D(E_F): 1.412 states/eV per atom
formation energy from the elements: -0.034 eV per atom

Lattice parameters (Å, degrees): 6.7009 6.7009 6.7009 90.00 90.00 90.00
Space group F-43m (No. 216)
Asymmetric unit:
Lu1 0.0000 0.0000 0.0000
Ti1 0.0000 0.0000 0.5000
Cu1 0.2500 0.2500 0.7500
Ag1 0.2500 0.2500 0.2500